# 1
# Tb3Y6Ho2Pu | the Alexandria database | PBE | relaxed
# Total magnetic moment ... 6.510 μB per cell
# E_form ... 48 meV per atom
# D(E_F) ... 24.7 states/eV/f.u.
# Theoretical density ... 6.96 g/cm³
data_Tb3Y6Ho2Pu
_cell_length_a 6.148
_cell_length_b 6.148
_cell_length_c 11.730
_cell_angle_alpha 95.02
_cell_angle_beta 95.02
_cell_angle_gamma 120.01
_space_group_name_H-M_alt 'P 1'
_space_group_IT_number 1
loop_
_space_group_symop_operation_xyz
'x,y,z'
loop_
_atom_site_label
_atom_site_type_symbol
_atom_site_fract_x
_atom_site_fract_y
_atom_site_fract_z
Tb1 Tb 0.000 0.000 0.000
Tb2 Tb 0.333 0.667 0.000
Tb3 Tb 0.667 0.333 0.000
Y1 Y 0.088 0.418 0.252
Y2 Y 0.252 0.252 0.748
Y3 Y 0.418 0.088 0.252
Y4 Y 0.582 0.912 0.748
Y5 Y 0.748 0.748 0.252
Y6 Y 0.912 0.582 0.748
Ho1 Ho 0.167 0.833 0.500
Ho2 Ho 0.833 0.167 0.500
Pu1 Pu 0.500 0.500 0.500



# 2
# Tb2Y3Ho6Pu | the Alexandria database | PBE | relaxed
# Total magnetic moment ... 6.411 μB per cell
# E_form ... 46 meV per atom
# D(E_F) ... 25.4 states/eV/f.u.
# Theoretical density ... 8.10 g/cm³
data_Tb2Y3Ho6Pu
_cell_length_a 6.119
_cell_length_b 6.119
_cell_length_c 11.677
_cell_angle_alpha 95.03
_cell_angle_beta 95.03
_cell_angle_gamma 120.00
_space_group_name_H-M_alt 'P 1'
_space_group_IT_number 1
loop_
_space_group_symop_operation_xyz
'x,y,z'
loop_
_atom_site_label
_atom_site_type_symbol
_atom_site_fract_x
_atom_site_fract_y
_atom_site_fract_z
Tb1 Tb 0.167 0.833 0.000
Tb2 Tb 0.833 0.167 0.000
Y1 Y 0.000 0.000 0.500
Y2 Y 0.333 0.667 0.500
Y3 Y 0.667 0.333 0.500
Ho1 Ho 0.088 0.418 0.752
Ho2 Ho 0.253 0.253 0.248
Ho3 Ho 0.418 0.088 0.752
Ho4 Ho 0.582 0.912 0.248
Ho5 Ho 0.747 0.747 0.752
Ho6 Ho 0.912 0.582 0.248
Pu1 Pu 0.500 0.500 0.000



# 3
# Tb3Y2Ho6Pu | the Alexandria database | PBE | relaxed
# Total magnetic moment ... 6.491 μB per cell
# E_form ... 46 meV per atom
# D(E_F) ... 24.2 states/eV/f.u.
# Theoretical density ... 8.42 g/cm³
data_Tb3Y2Ho6Pu
_cell_length_a 6.116
_cell_length_b 6.116
_cell_length_c 11.671
_cell_angle_alpha 95.02
_cell_angle_beta 95.02
_cell_angle_gamma 120.01
_space_group_name_H-M_alt 'P 1'
_space_group_IT_number 1
loop_
_space_group_symop_operation_xyz
'x,y,z'
loop_
_atom_site_label
_atom_site_type_symbol
_atom_site_fract_x
_atom_site_fract_y
_atom_site_fract_z
Tb1 Tb 0.000 0.000 0.000
Tb2 Tb 0.333 0.667 0.000
Tb3 Tb 0.667 0.333 0.000
Y1 Y 0.167 0.833 0.500
Y2 Y 0.833 0.167 0.500
Ho1 Ho 0.088 0.417 0.252
Ho2 Ho 0.254 0.254 0.749
Ho3 Ho 0.417 0.088 0.252
Ho4 Ho 0.583 0.912 0.748
Ho5 Ho 0.746 0.746 0.251
Ho6 Ho 0.912 0.583 0.748
Pu1 Pu 0.500 0.500 0.500



# 4
# Tb2Y6Ho3Pu | the Alexandria database | PBE | relaxed
# Total magnetic moment ... 6.439 μB per cell
# E_form ... 50 meV per atom
# D(E_F) ... 25.5 states/eV/f.u.
# Theoretical density ... 7.00 g/cm³
data_Tb2Y6Ho3Pu
_cell_length_a 6.143
_cell_length_b 6.143
_cell_length_c 11.721
_cell_angle_alpha 95.02
_cell_angle_beta 95.02
_cell_angle_gamma 120.01
_space_group_name_H-M_alt 'P 1'
_space_group_IT_number 1
loop_
_space_group_symop_operation_xyz
'x,y,z'
loop_
_atom_site_label
_atom_site_type_symbol
_atom_site_fract_x
_atom_site_fract_y
_atom_site_fract_z
Tb1 Tb 0.167 0.833 0.000
Tb2 Tb 0.833 0.167 0.000
Y1 Y 0.087 0.417 0.751
Y2 Y 0.253 0.253 0.249
Y3 Y 0.417 0.087 0.751
Y4 Y 0.583 0.913 0.249
Y5 Y 0.747 0.747 0.751
Y6 Y 0.913 0.583 0.249
Ho1 Ho 0.000 0.000 0.500
Ho2 Ho 0.333 0.667 0.500
Ho3 Ho 0.667 0.333 0.500
Pu1 Pu 0.500 0.500 0.000



# 5
# TbYHoPu | the Alexandria database | PBE | relaxed
# Total magnetic moment ... 7.238 μB per cell
# E_form ... 197 meV per atom
# D(E_F) ... 10.6 states/eV/f.u.
# Theoretical density ... 8.84 g/cm³
data_TbYHoPu
_cell_length_a 5.588
_cell_length_b 5.588
_cell_length_c 5.588
_cell_angle_alpha 60.00
_cell_angle_beta 60.00
_cell_angle_gamma 60.00
_space_group_name_H-M_alt 'P 1'
_space_group_IT_number 1
loop_
_space_group_symop_operation_xyz
'x,y,z'
loop_
_atom_site_label
_atom_site_type_symbol
_atom_site_fract_x
_atom_site_fract_y
_atom_site_fract_z
Tb1 Tb 0.000 0.000 0.000
Y1 Y 0.250 0.250 0.250
Ho1 Ho 0.500 0.500 0.500
Pu1 Pu 0.750 0.750 0.750



# 6
# HoPu2Tc9 | the Alexandria database | PBE | relaxed
# Total magnetic moment ... 9.226 μB per cell
# E_form ... 58 meV per atom
# D(E_F) ... 24.3 states/eV/f.u.
# Theoretical density ... 11.93 g/cm³
data_HoPu2Tc9
_cell_length_a 9.565
_cell_length_b 9.565
_cell_length_c 9.565
_cell_angle_alpha 31.62
_cell_angle_beta 31.62
_cell_angle_gamma 31.62
_space_group_name_H-M_alt 'P 1'
_space_group_IT_number 1
loop_
_space_group_symop_operation_xyz
'x,y,z'
loop_
_atom_site_label
_atom_site_type_symbol
_atom_site_fract_x
_atom_site_fract_y
_atom_site_fract_z
Ho1 Ho 0.000 0.000 0.000
Pu1 Pu 0.146 0.146 0.146
Pu2 Pu 0.854 0.854 0.854
Tc1 Tc 0.078 0.584 0.584
Tc2 Tc 0.335 0.335 0.335
Tc3 Tc 0.416 0.416 0.922
Tc4 Tc 0.416 0.922 0.416
Tc5 Tc 0.500 0.500 0.500
Tc6 Tc 0.584 0.078 0.584
Tc7 Tc 0.584 0.584 0.078
Tc8 Tc 0.665 0.665 0.665
Tc9 Tc 0.922 0.416 0.416



# 7
# HoPuTc2 | the Alexandria database | PBE | relaxed
# Total magnetic moment ... 3.118 μB per cell
# E_form ... 27 meV per atom
# D(E_F) ... 5.4 states/eV/f.u.
# Distance to the lowest polymorph of the same formula ... 34 meV/atom
# Theoretical density ... 13.02 g/cm³
data_HoPuTc2
_cell_length_a 4.778
_cell_length_b 4.778
_cell_length_c 4.778
_cell_angle_alpha 60.00
_cell_angle_beta 60.00
_cell_angle_gamma 60.00
_space_group_name_H-M_alt 'P 1'
_space_group_IT_number 1
loop_
_space_group_symop_operation_xyz
'x,y,z'
loop_
_atom_site_label
_atom_site_type_symbol
_atom_site_fract_x
_atom_site_fract_y
_atom_site_fract_z
Ho1 Ho 0.000 0.000 0.000
Pu1 Pu 0.500 0.500 0.500
Tc1 Tc 0.250 0.250 0.250
Tc2 Tc 0.750 0.750 0.750



# 8
# Ho2PuTc | the Alexandria database | PBE | relaxed
# Total magnetic moment ... 5.881 μB per cell
# E_form ... 257 meV per atom
# D(E_F) ... 9.9 states/eV/f.u.
# Distance to the lowest polymorph of the same formula ... 353 meV/atom
# Theoretical density ... 11.98 g/cm³
data_Ho2PuTc
_cell_length_a 5.112
_cell_length_b 5.112
_cell_length_c 5.112
_cell_angle_alpha 59.37
_cell_angle_beta 59.37
_cell_angle_gamma 59.37
_space_group_name_H-M_alt 'P 1'
_space_group_IT_number 1
loop_
_space_group_symop_operation_xyz
'x,y,z'
loop_
_atom_site_label
_atom_site_type_symbol
_atom_site_fract_x
_atom_site_fract_y
_atom_site_fract_z
Ho1 Ho 0.249 0.249 0.249
Ho2 Ho 0.751 0.751 0.751
Pu1 Pu 0.000 0.000 0.000
Tc1 Tc 0.500 0.500 0.500



# 9
# HoPu2Tc | the Alexandria database | PBE | relaxed
# Total magnetic moment ... 10.904 μB per cell
# E_form ... 340 meV per atom
# D(E_F) ... 12.5 states/eV/f.u.
# Distance to the lowest polymorph of the same formula ... 250 meV/atom
# Theoretical density ... 12.68 g/cm³
data_HoPu2Tc
_cell_length_a 10.820
_cell_length_b 10.820
_cell_length_c 10.820
_cell_angle_alpha 17.35
_cell_angle_beta 17.35
_cell_angle_gamma 17.35
_space_group_name_H-M_alt 'P 1'
_space_group_IT_number 1
loop_
_space_group_symop_operation_xyz
'x,y,z'
loop_
_atom_site_label
_atom_site_type_symbol
_atom_site_fract_x
_atom_site_fract_y
_atom_site_fract_z
Ho1 Ho 0.000 0.000 0.000
Pu1 Pu 0.100 0.100 0.100
Pu2 Pu 0.900 0.900 0.900
Tc1 Tc 0.500 0.500 0.500



# 10
# HoPuTc2 | the Alexandria database | PBE | relaxed
# Total magnetic moment ... 2.955 μB per cell
# E_form ... -7 meV per atom
# D(E_F) ... 7.2 states/eV/f.u.
# Distance to the lowest polymorph of the same formula ... 0 meV/atom
# Theoretical density ... 12.89 g/cm³
data_HoPuTc2
_cell_length_a 3.355
_cell_length_b 3.355
_cell_length_c 6.923
_cell_angle_alpha 90.00
_cell_angle_beta 90.00
_cell_angle_gamma 90.00
_space_group_name_H-M_alt 'P 1'
_space_group_IT_number 1
loop_
_space_group_symop_operation_xyz
'x,y,z'
loop_
_atom_site_label
_atom_site_type_symbol
_atom_site_fract_x
_atom_site_fract_y
_atom_site_fract_z
Ho1 Ho 0.000 0.000 0.000
Pu1 Pu 0.000 0.000 0.500
Tc1 Tc 0.500 0.500 0.282
Tc2 Tc 0.500 0.500 0.718



# 11
# HoPu2Tc | the Alexandria database | PBE | relaxed
# Total magnetic moment ... 10.401 μB per cell
# E_form ... 90 meV per atom
# D(E_F) ... 10.3 states/eV/f.u.
# Distance to the lowest polymorph of the same formula ... 0 meV/atom
# Theoretical density ... 13.08 g/cm³
data_HoPu2Tc
_cell_length_a 3.295
_cell_length_b 3.295
_cell_length_c 8.782
_cell_angle_alpha 90.00
_cell_angle_beta 90.00
_cell_angle_gamma 90.00
_space_group_name_H-M_alt 'P 1'
_space_group_IT_number 1
loop_
_space_group_symop_operation_xyz
'x,y,z'
loop_
_atom_site_label
_atom_site_type_symbol
_atom_site_fract_x
_atom_site_fract_y
_atom_site_fract_z
Ho1 Ho 0.000 0.000 0.000
Pu1 Pu 0.500 0.500 0.299
Pu2 Pu 0.500 0.500 0.701
Tc1 Tc 0.000 0.000 0.500



# 12
# Ho2PuTc | the Alexandria database | PBE | relaxed
# Total magnetic moment ... 20.600 μB per cell
# E_form ... -96 meV per atom
# D(E_F) ... 8.3 states/eV/f.u.
# Distance to the lowest polymorph of the same formula ... 0 meV/atom
# Theoretical density ... 10.69 g/cm³
data_Ho2PuTc
_cell_length_a 7.139
_cell_length_b 9.387
_cell_length_c 6.227
_cell_angle_alpha 90.00
_cell_angle_beta 90.00
_cell_angle_gamma 90.00
_space_group_name_H-M_alt 'P 1'
_space_group_IT_number 1
loop_
_space_group_symop_operation_xyz
'x,y,z'
loop_
_atom_site_label
_atom_site_type_symbol
_atom_site_fract_x
_atom_site_fract_y
_atom_site_fract_z
Ho1 Ho 0.177 0.065 0.171
Ho2 Ho 0.177 0.435 0.171
Ho3 Ho 0.323 0.565 0.671
Ho4 Ho 0.323 0.935 0.671
Ho5 Ho 0.677 0.065 0.329
Ho6 Ho 0.677 0.435 0.329
Ho7 Ho 0.823 0.565 0.829
Ho8 Ho 0.823 0.935 0.829
Pu1 Pu 0.046 0.250 0.651
Pu2 Pu 0.454 0.750 0.151
Pu3 Pu 0.546 0.250 0.849
Pu4 Pu 0.954 0.750 0.349
Tc1 Tc 0.134 0.750 0.003
Tc2 Tc 0.366 0.250 0.503
Tc3 Tc 0.634 0.750 0.497
Tc4 Tc 0.866 0.250 0.997